## AcScNi2As2 (PBE-GGA)

Data for a relaxed AcScNi2As2 crystal. Values from VASP.

Values from the calculation:
Crystal system = trigonal
Symmetry = P-3m1, No. 164
D(E_F) = 1.4 states/eV/cell
Spin magnetization = 0.000 μB/atom
Energy = -6.19 eV per atom

Quantum ESPRESSO input file:
```
&SYSTEM
  ibrav = 0, nat = 6, ntyp = 4
/
ATOMIC_SPECIES
Ac 227.00 Ac.upf
Sc 44.96 Sc.upf
Ni 58.69 Ni.upf
As 74.92 As.upf
CELL_PARAMETERS angstrom
4.168 0.000 0.000
-2.084 3.610 0.000
0.000 0.000 7.546
ATOMIC_POSITIONS angstrom
Ac 0.000 0.000 0.000
Sc 0.000 0.000 3.773
Ni 0.000 2.406 5.183
Ni 2.084 1.203 2.363
As 0.000 2.406 2.151
As 2.084 1.203 5.395
```